Here is a relaxed structure of PrNdScIn from Alexandria via LeMat-Bulk. Energies are from PBE.

Computed properties:
Mass density (g/cm³): 6.296
V (Å³/f.u.): 117.3
Space-group type: F-43m (216)
Calculated formation energy (eV/atom): -0.165
N(E_F) (states/eV/f.u.): 5.465
Total magnetization (μB/f.u.): 1.12

Unit cell a=5.4953 b=5.4953 c=5.4953 alpha=60.00 beta=60.00 gamma=60.00
With the nearest neighbours (Å) after each atom.
Positions (direct):
Pr 0.0000 0.0000 0.0000  4 In 3.37, 4 Sc 3.37
Nd 0.5000 0.5000 0.5000  4 In 3.37, 4 Sc 3.37
Sc 0.7500 0.7500 0.7500  4 Nd 3.37, 4 Pr 3.37
In 0.2500 0.2500 0.2500  4 Pr 3.37, 4 Nd 3.37